# CuNiPbAu | the Alexandria database | PBE-GGA | optimized geometry
# **Fermi-level density of states**: 0.70 states/eV per atom
# **Formation energy from the elements**: 0.154 eV per atom
data_CuNiPbAu
_chemical_formula_sum 'Cu4 Ni4 Pb4 Au4'
_cell_length_a 6.434
_cell_length_b 6.434
_cell_length_c 6.434
_cell_angle_alpha 90.00
_cell_angle_beta 90.00
_cell_angle_gamma 90.00
_space_group_name_H-M_alt 'F -4 3 m'
_space_group_IT_number 216
_space_group_name_Hall 'F -4 2 3'
loop_
_atom_site_label
_atom_site_fract_x
_atom_site_fract_y
_atom_site_fract_z
Cu1 0.000 0.000 0.000
Ni1 0.000 0.000 0.500
Pb1 0.250 0.250 0.750
Au1 0.250 0.250 0.250



# Cu2NiPd5Au2 | the Alexandria database | PBE-GGA | optimized geometry
# **Fermi-level density of states**: 0.87 states/eV per atom
# **Formation energy from the elements**: 0.105 eV per atom
data_Cu2NiPd5Au2
_chemical_formula_sum 'Cu4 Ni2 Pd10 Au4'
_cell_length_a 8.942
_cell_length_b 8.942
_cell_length_c 3.885
_cell_angle_alpha 90.00
_cell_angle_beta 90.00
_cell_angle_gamma 90.00
_space_group_name_H-M_alt 'P 4/m b m'
_space_group_IT_number 127
_space_group_name_Hall '-P 4 2ab'
loop_
_atom_site_label
_atom_site_fract_x
_atom_site_fract_y
_atom_site_fract_z
Cu1 0.126 0.374 0.000
Ni1 0.000 0.000 0.000
Pd1 0.000 0.500 0.500
Pd2 0.079 0.195 0.500
Au1 0.170 0.670 0.000



# CuNiPdAu | the Alexandria database | PBE-GGA | optimized geometry
# **Excess energy over the best structure of this formula in the dataset**: 20.5 meV/atom
# **Fermi-level density of states**: 1.18 states/eV per atom
# **Formation energy from the elements**: 0.008 eV per atom
data_CuNiPdAu
_chemical_formula_sum 'Cu4 Ni4 Pd4 Au4'
_cell_length_a 6.093
_cell_length_b 6.093
_cell_length_c 6.093
_cell_angle_alpha 90.00
_cell_angle_beta 90.00
_cell_angle_gamma 90.00
_space_group_name_H-M_alt 'F -4 3 m'
_space_group_IT_number 216
_space_group_name_Hall 'F -4 2 3'
loop_
_atom_site_label
_atom_site_fract_x
_atom_site_fract_y
_atom_site_fract_z
Cu1 0.000 0.000 0.000
Ni1 0.000 0.000 0.500
Pd1 0.250 0.250 0.750
Au1 0.250 0.250 0.250



# CuNiPdAu | the Alexandria database | PBE-GGA | optimized geometry
# **Excess energy over the best structure of this formula in the dataset**: 0.0 meV/atom
# **Fermi-level density of states**: 1.37 states/eV per atom
# **Formation energy from the elements**: -0.013 eV per atom
data_CuNiPdAu
_chemical_formula_sum 'Cu2 Ni2 Pd2 Au2'
_cell_length_a 3.974
_cell_length_b 3.974
_cell_length_c 7.162
_cell_angle_alpha 90.00
_cell_angle_beta 90.00
_cell_angle_gamma 90.00
_space_group_name_H-M_alt 'I -4 m 2'
_space_group_IT_number 119
_space_group_name_Hall 'I -4 -2'
loop_
_atom_site_label
_atom_site_fract_x
_atom_site_fract_y
_atom_site_fract_z
Cu1 0.000 0.000 0.000
Ni1 0.000 0.000 0.500
Pd1 0.000 0.500 0.250
Au1 0.000 0.500 0.750



# Cu7NiSb2Au2 | the Alexandria database | PBE-GGA | optimized geometry
# **Uncorrected formation energy**: 0.10 eV/atom
# **Fermi-level density of states**: 0.48 states/eV per atom
data_Cu7NiSb2Au2
_chemical_formula_sum 'Cu14 Ni2 Sb4 Au4'
_cell_length_a 5.170
_cell_length_b 5.173
_cell_length_c 14.296
_cell_angle_alpha 90.00
_cell_angle_beta 100.34
_cell_angle_gamma 90.00
_space_group_name_H-M_alt 'C 1 2/m 1'
_space_group_IT_number 12
loop_
_space_group_symop_operation_xyz
'x,y,z'
'-x,-y,-z'
'-x,y,-z'
'x,-y,z'
'x+1/2,y+1/2,z'
'-x+1/2,-y+1/2,-z'
'-x+1/2,y+1/2,-z'
'x+1/2,-y+1/2,z'
loop_
_atom_site_label
_atom_site_fract_x
_atom_site_fract_y
_atom_site_fract_z
Cu1 0.000 0.000 0.000
Cu2 0.188 0.250 0.876
Cu3 0.230 0.000 0.458
Ni1 0.000 0.500 0.000
Sb1 0.180 0.500 0.358
Au1 0.132 0.000 0.262



# CuSiNiAu2 | the Alexandria database | PBE-GGA | optimized geometry
# **Uncorrected formation energy**: 0.87 eV/atom
# **Fermi-level density of states**: 0.58 states/eV per atom
data_CuSiNiAu2
_chemical_formula_sum 'Cu1 Si1 Ni1 Au2'
_cell_length_a 4.747
_cell_length_b 4.747
_cell_length_c 4.351
_cell_angle_alpha 90.00
_cell_angle_beta 90.00
_cell_angle_gamma 90.00
_space_group_name_H-M_alt 'P 4/m m m'
_space_group_IT_number 123
_space_group_name_Hall '-P 4 2'
loop_
_atom_site_label
_atom_site_fract_x
_atom_site_fract_y
_atom_site_fract_z
Cu1 0.000 0.000 0.000
Si1 0.500 0.500 0.000
Ni1 0.000 0.000 0.500
Au1 0.000 0.500 0.500



# Sm2Cu12Ni3Au | the Alexandria database | PBE-GGA | optimized geometry
# **Fermi-level density of states**: 0.39 states/eV per atom
# **Formation energy from the elements**: 0.058 eV per atom
data_Sm2Cu12Ni3Au
_chemical_formula_sum 'Sm6 Cu36 Ni9 Au3'
_cell_length_a 8.6219
_cell_length_b 8.6219
_cell_length_c 12.2767
_cell_angle_alpha 90.00
_cell_angle_beta 90.00
_cell_angle_gamma 120.00
_space_group_name_H-M_alt 'R -3 m'
_space_group_IT_number 166
_space_group_name_Hall '-R 3 2"'
loop_
_atom_site_label
_atom_site_fract_x
_atom_site_fract_y
_atom_site_fract_z
Sm1 0.0000 0.0000 0.2502
Cu1 0.0039 0.5020 0.7052
Cu2 0.0493 0.5246 0.1008
Ni1 0.0000 0.5000 0.5000
Au1 0.0000 0.0000 0.0000



# CuNiSnAu | the Alexandria database | PBE-GGA | optimized geometry
# **Fermi-level density of states**: 0.51 states/eV per atom
# **Formation energy from the elements**: -0.043 eV per atom
data_CuNiSnAu
_chemical_formula_sum 'Cu4 Ni4 Sn4 Au4'
_cell_length_a 6.286
_cell_length_b 6.286
_cell_length_c 6.286
_cell_angle_alpha 90.00
_cell_angle_beta 90.00
_cell_angle_gamma 90.00
_space_group_name_H-M_alt 'F -4 3 m'
_space_group_IT_number 216
_space_group_name_Hall 'F -4 2 3'
loop_
_atom_site_label
_atom_site_fract_x
_atom_site_fract_y
_atom_site_fract_z
Cu1 0.000 0.000 0.000
Ni1 0.000 0.000 0.500
Sn1 0.250 0.250 0.750
Au1 0.250 0.250 0.250



# CuNiSnAu2 | the Alexandria database | PBE-GGA | optimized geometry
# **Fermi-level density of states**: 0.59 states/eV per atom
# **Formation energy from the elements**: 0.570 eV per atom
data_CuNiSnAu2
_chemical_formula_sum 'Cu1 Ni1 Sn1 Au2'
_cell_length_a 4.848
_cell_length_b 4.848
_cell_length_c 4.657
_cell_angle_alpha 90.00
_cell_angle_beta 90.00
_cell_angle_gamma 90.00
_space_group_name_H-M_alt 'P 4/m m m'
_space_group_IT_number 123
_space_group_name_Hall '-P 4 2'
loop_
_atom_site_label
_atom_site_fract_x
_atom_site_fract_y
_atom_site_fract_z
Cu1 0.000 0.000 0.000
Ni1 0.500 0.500 0.500
Sn1 0.500 0.500 0.000
Au1 0.000 0.500 0.500



# TaCuNiAu | the Alexandria database | PBE-GGA | optimized geometry
# **Fermi-level density of states**: 0.71 states/eV per atom
# **Formation energy from the elements**: -0.040 eV per atom
data_TaCuNiAu
_chemical_formula_sum 'Ta4 Cu4 Ni4 Au4'
_cell_length_a 6.126
_cell_length_b 6.126
_cell_length_c 6.126
_cell_angle_alpha 90.00
_cell_angle_beta 90.00
_cell_angle_gamma 90.00
_space_group_name_H-M_alt 'F -4 3 m'
_space_group_IT_number 216
_space_group_name_Hall 'F -4 2 3'
loop_
_atom_site_label
_atom_site_fract_x
_atom_site_fract_y
_atom_site_fract_z
Ta1 0.000 0.000 0.000
Cu1 0.250 0.250 0.250
Ni1 0.250 0.250 0.750
Au1 0.000 0.000 0.500



# Cu2NiTeAu | the Alexandria database | PBE-GGA | optimized geometry
# **Uncorrected formation energy**: 0.63 eV/atom
# **Fermi-level density of states**: 0.85 states/eV per atom
data_Cu2NiTeAu
_chemical_formula_sum 'Cu2 Ni1 Te1 Au1'
_cell_length_a 4.460
_cell_length_b 4.460
_cell_length_c 4.778
_cell_angle_alpha 90.00
_cell_angle_beta 90.00
_cell_angle_gamma 90.00
_space_group_name_H-M_alt 'P 4/m m m'
_space_group_IT_number 123
_space_group_name_Hall '-P 4 2'
loop_
_atom_site_label
_atom_site_fract_x
_atom_site_fract_y
_atom_site_fract_z
Cu1 0.000 0.500 0.000
Ni1 0.000 0.000 0.000
Te1 0.500 0.500 0.500
Au1 0.000 0.000 0.500



# Th2Cu12Ni3Au | the Alexandria database | PBE-GGA | optimized geometry
# **Fermi-level density of states**: 0.37 states/eV per atom
# **Formation energy from the elements**: 0.038 eV per atom
data_Th2Cu12Ni3Au
_chemical_formula_sum 'Th6 Cu36 Ni9 Au3'
_cell_length_a 8.6165
_cell_length_b 8.6165
_cell_length_c 12.4651
_cell_angle_alpha 90.00
_cell_angle_beta 90.00
_cell_angle_gamma 120.00
_space_group_name_H-M_alt 'R -3 m'
_space_group_IT_number 166
_space_group_name_Hall '-R 3 2"'
loop_
_atom_site_label
_atom_site_fract_x
_atom_site_fract_y
_atom_site_fract_z
Th1 0.0000 0.0000 0.2474
Cu1 0.0045 0.5023 0.7054
Cu2 0.0542 0.5271 0.1016
Ni1 0.0000 0.5000 0.5000
Au1 0.0000 0.0000 0.0000



# VCuNiAu | the Alexandria database | PBE-GGA | optimized geometry
# **Fermi-level density of states**: 1.02 states/eV per atom
# **Formation energy from the elements**: 0.058 eV per atom
data_VCuNiAu
_chemical_formula_sum 'V4 Cu4 Ni4 Au4'
_cell_length_a 5.995
_cell_length_b 5.995
_cell_length_c 5.995
_cell_angle_alpha 90.00
_cell_angle_beta 90.00
_cell_angle_gamma 90.00
_space_group_name_H-M_alt 'F -4 3 m'
_space_group_IT_number 216
_space_group_name_Hall 'F -4 2 3'
loop_
_atom_site_label
_atom_site_fract_x
_atom_site_fract_y
_atom_site_fract_z
V1 0.000 0.000 0.000
Cu1 0.250 0.250 0.250
Ni1 0.250 0.250 0.750
Au1 0.000 0.000 0.500



# ZnCuNiAu2 | the Alexandria database | PBE-GGA | optimized geometry
# **Fermi-level density of states**: 0.52 states/eV per atom
# **Formation energy from the elements**: 0.784 eV per atom
data_ZnCuNiAu2
_chemical_formula_sum 'Zn1 Cu1 Ni1 Au2'
_cell_length_a 4.749
_cell_length_b 4.749
_cell_length_c 4.359
_cell_angle_alpha 90.00
_cell_angle_beta 90.00
_cell_angle_gamma 90.00
_space_group_name_H-M_alt 'P 4/m m m'
_space_group_IT_number 123
_space_group_name_Hall '-P 4 2'
loop_
_atom_site_label
_atom_site_fract_x
_atom_site_fract_y
_atom_site_fract_z
Zn1 0.000 0.000 0.000
Cu1 0.500 0.500 0.500
Ni1 0.000 0.000 0.500
Au1 0.000 0.500 0.000



# Zn4CuNi2Au | the Alexandria database | PBE-GGA | optimized geometry
# **Fermi-level density of states**: 0.49 states/eV per atom
# **Formation energy from the elements**: -0.158 eV per atom
data_Zn4CuNi2Au
_chemical_formula_sum 'Zn12 Cu3 Ni6 Au3'
_cell_length_a 4.2271
_cell_length_b 4.2271
_cell_length_c 20.7792
_cell_angle_alpha 90.00
_cell_angle_beta 90.00
_cell_angle_gamma 120.00
_space_group_name_H-M_alt 'R -3 m'
_space_group_IT_number 166
_space_group_name_Hall '-R 3 2"'
loop_
_atom_site_label
_atom_site_fract_x
_atom_site_fract_y
_atom_site_fract_z
Zn1 0.0000 0.0000 0.1194
Zn2 0.0000 0.0000 0.3706
Cu1 0.0000 0.0000 0.0000
Ni1 0.0000 0.0000 0.2494
Au1 0.0000 0.0000 0.5000



# ZnCu2NiAu2 | the Alexandria database | PBE-GGA | optimized geometry
# **Fermi-level density of states**: 0.76 states/eV per atom
# **Formation energy from the elements**: 0.429 eV per atom
data_ZnCu2NiAu2
_chemical_formula_sum 'Zn2 Cu4 Ni2 Au4'
_cell_length_a 5.285
_cell_length_b 8.164
_cell_length_c 4.999
_cell_angle_alpha 90.00
_cell_angle_beta 90.00
_cell_angle_gamma 90.00
_space_group_name_H-M_alt 'P n n m'
_space_group_IT_number 58
loop_
_space_group_symop_operation_xyz
'x,y,z'
'-x,-y,-z'
'-x,-y,z'
'x,y,-z'
'x+1/2,-y+1/2,-z+1/2'
'-x+1/2,y+1/2,z+1/2'
'-x+1/2,y+1/2,-z+1/2'
'x+1/2,-y+1/2,z+1/2'
loop_
_atom_site_label
_atom_site_fract_x
_atom_site_fract_y
_atom_site_fract_z
Zn1 0.000 0.000 0.000
Cu1 0.243 0.253 0.000
Ni1 0.000 0.500 0.000
Au1 0.219 0.251 0.500



# Zn2Cu2Ni2Au | the Alexandria database | PBE-GGA | optimized geometry
# **Fermi-level density of states**: 0.50 states/eV per atom
# **Formation energy from the elements**: -0.083 eV per atom
data_Zn2Cu2Ni2Au
_chemical_formula_sum 'Zn4 Cu4 Ni4 Au2'
_cell_length_a 8.277
_cell_length_b 3.803
_cell_length_c 5.870
_cell_angle_alpha 90.00
_cell_angle_beta 98.01
_cell_angle_gamma 90.00
_space_group_name_H-M_alt 'C 1 2/m 1'
_space_group_IT_number 12
loop_
_space_group_symop_operation_xyz
'x,y,z'
'-x,-y,-z'
'-x,y,-z'
'x,-y,z'
'x+1/2,y+1/2,z'
'-x+1/2,-y+1/2,-z'
'-x+1/2,y+1/2,-z'
'x+1/2,-y+1/2,z'
loop_
_atom_site_label
_atom_site_fract_x
_atom_site_fract_y
_atom_site_fract_z
Zn1 0.083 0.000 0.216
Cu1 0.144 0.500 0.934
Ni1 0.215 0.000 0.656
Au1 0.000 0.500 0.500



# ZnCuNiAu | the Alexandria database | PBE-GGA | optimized geometry
# **Fermi-level density of states**: 0.34 states/eV per atom
# **Formation energy from the elements**: -0.135 eV per atom
data_ZnCuNiAu
_chemical_formula_sum 'Zn1 Cu1 Ni1 Au1'
_cell_length_a 3.744
_cell_length_b 3.763
_cell_length_c 3.881
_cell_angle_alpha 90.00
_cell_angle_beta 90.00
_cell_angle_gamma 90.00
_space_group_name_H-M_alt 'P m m m'
_space_group_IT_number 47
loop_
_space_group_symop_operation_xyz
'x,y,z'
'-x,-y,-z'
'-x,-y,z'
'x,y,-z'
'x,-y,-z'
'-x,y,z'
'-x,y,-z'
'x,-y,z'
loop_
_atom_site_label
_atom_site_fract_x
_atom_site_fract_y
_atom_site_fract_z
Zn1 0.000 0.000 0.000
Cu1 0.000 0.500 0.500
Ni1 0.500 0.500 0.000
Au1 0.500 0.000 0.500



# NpCu2Au10 | the Alexandria database | PBE-GGA | optimized geometry
# **Fermi-level density of states**: 0.86 states/eV per atom
# **Formation energy from the elements**: -0.059 eV per atom
data_NpCu2Au10
_chemical_formula_sum 'Np4 Cu8 Au40'
_cell_length_a 5.444
_cell_length_b 13.128
_cell_length_c 13.582
_cell_angle_alpha 90.00
_cell_angle_beta 90.00
_cell_angle_gamma 90.00
_space_group_name_H-M_alt 'F m m m'
_space_group_IT_number 69
_space_group_name_Hall '-F 2 2'
loop_
_atom_site_label
_atom_site_fract_x
_atom_site_fract_y
_atom_site_fract_z
Np1 0.000 0.000 0.000
Cu1 0.250 0.250 0.000
Au1 0.000 0.111 0.397
Au2 0.000 0.178 0.162
Au3 0.250 0.000 0.250



# NpCuAu | the Alexandria database | PBE-GGA | optimized geometry
# **Excess energy over the best structure of this formula in the dataset**: 68.4 meV/atom
# **Fermi-level density of states**: 1.22 states/eV per atom
# **Formation energy from the elements**: 0.035 eV per atom
data_NpCuAu
_chemical_formula_sum 'Np4 Cu4 Au4'
_cell_length_a 4.701
_cell_length_b 12.700
_cell_length_c 3.609
_cell_angle_alpha 90.00
_cell_angle_beta 90.00
_cell_angle_gamma 90.00
_space_group_name_H-M_alt 'C m c m'
_space_group_IT_number 63
_space_group_name_Hall '-C 2c 2'
loop_
_atom_site_label
_atom_site_fract_x
_atom_site_fract_y
_atom_site_fract_z
Np1 0.000 0.065 0.250
Cu1 0.000 0.423 0.250
Au1 0.000 0.264 0.750